Arrangement w

Entry from Alexandria: a relaxed structure of VI2O2 (PBE with a Hubbard U).

Computed properties:
Density of states at the Fermi level ... 5.50 states/eV/cell
SG ... No. 123

a b c (Å): 5.374 5.374 3.615
angles (deg): 90.00 90.00 90.00
Fractional positions:
1 V 0.000 0.000 0.000
2 I 0.000 0.500 0.000
3 I 0.500 0.000 0.000
4 O 0.000 0.000 0.500
5 O 0.500 0.500 0.500

=====

Arrangement x

Entry from Alexandria: a relaxed structure of VI2O2 (PBE with a Hubbard U).

Computed properties:
Density of states at the Fermi level ... 4.57 states/eV/cell
SG ... No. 123

a b c (Å): 4.120 4.120 7.687
angles (deg): 90.00 90.00 90.00
Fractional positions:
1 V 0.000 0.000 0.000
2 I 0.500 0.500 0.000
3 I 0.500 0.500 0.500
4 O 0.000 0.500 0.500
5 O 0.500 0.000 0.500

=====

Arrangement y

Entry from Alexandria: a relaxed structure of VI2O2 (PBE with a Hubbard U).

Computed properties:
Density of states at the Fermi level ... 2.70 states/eV/cell
SG ... No. 123

a b c (Å): 4.048 4.048 5.908
angles (deg): 90.00 90.00 90.00
Fractional positions:
1 V 0.000 0.000 0.000
2 I 0.000 0.000 0.500
3 I 0.500 0.500 0.500
4 O 0.000 0.500 0.000
5 O 0.500 0.000 0.000

=====

Short version: arrangement x is the least stable of them.

=====

Arrangement w

Entry from Alexandria: a relaxed structure of VWIO2 (PBE with a Hubbard U).

Computed properties:
Density of states at the Fermi level ... 2.42 states/eV/cell
SG ... No. 123

a b c (Å): 3.972 3.972 5.786
angles (deg): 90.00 90.00 90.00
Fractional positions:
1 V 0.000 0.000 0.000
2 W 0.500 0.500 0.500
3 I 0.000 0.000 0.500
4 O 0.000 0.500 0.000
5 O 0.500 0.000 0.000

=====

Arrangement x

Entry from Alexandria: a relaxed structure of VWIO2 (PBE with a Hubbard U).

Computed properties:
Density of states at the Fermi level ... 2.18 states/eV/cell
SG ... No. 123

a b c (Å): 3.945 3.945 7.825
angles (deg): 90.00 90.00 90.00
Fractional positions:
1 V 0.000 0.000 0.000
2 W 0.500 0.500 0.500
3 I 0.500 0.500 0.000
4 O 0.000 0.500 0.500
5 O 0.500 0.000 0.500

=====

Short version: arrangement w is the least stable of them.

=====

Arrangement w

Entry from Alexandria: a relaxed structure of YVI2O (PBE with a Hubbard U).

Computed properties:
Density of states at the Fermi level ... 5.91 states/eV/cell
SG ... No. 123

a b c (Å): 6.165 6.165 4.172
angles (deg): 90.00 90.00 90.00
Fractional positions:
1 Y 0.000 0.000 0.000
2 V 0.500 0.500 0.500
3 I 0.000 0.500 0.000
4 I 0.500 0.000 0.000
5 O 0.000 0.000 0.500

=====

Arrangement x

Entry from Alexandria: a relaxed structure of YVI2O (PBE with a Hubbard U).

Computed properties:
Density of states at the Fermi level ... 3.64 states/eV/cell
SG ... No. 123

a b c (Å): 5.848 5.848 3.735
angles (deg): 90.00 90.00 90.00
Fractional positions:
1 Y 0.000 0.000 0.000
2 V 0.500 0.500 0.500
3 I 0.000 0.500 0.500
4 I 0.500 0.000 0.500
5 O 0.500 0.500 0.000

=====

Short version: arrangement w is the least stable of them.

=====

Arrangement w

Entry from Alexandria: a relaxed structure of ZrVI2O (PBE with a Hubbard U).

Computed properties:
Density of states at the Fermi level ... 4.54 states/eV/cell
SG ... No. 123

a b c (Å): 5.777 5.777 3.673
angles (deg): 90.00 90.00 90.00
Fractional positions:
1 Zr 0.000 0.000 0.000
2 V 0.500 0.500 0.500
3 I 0.000 0.500 0.500
4 I 0.500 0.000 0.500
5 O 0.500 0.500 0.000

=====

Arrangement x

Entry from Alexandria: a relaxed structure of ZrVI2O (PBE with a Hubbard U).

Computed properties:
Density of states at the Fermi level ... 2.54 states/eV/cell
SG ... No. 123

a b c (Å): 5.942 5.942 4.004
angles (deg): 90.00 90.00 90.00
Fractional positions:
1 Zr 0.000 0.000 0.000
2 V 0.500 0.500 0.500
3 I 0.000 0.500 0.000
4 I 0.500 0.000 0.000
5 O 0.000 0.000 0.500

=====

Short version: arrangement w is the least stable of them.

=====

Arrangement w

Entry from Alexandria: a relaxed structure of W3IO (PBE with a Hubbard U).

Computed properties:
Density of states at the Fermi level ... 2.35 states/eV/cell
SG ... No. 221

a b c (Å): 4.382 4.382 4.382
angles (deg): 90.00 90.00 90.00
Fractional positions:
1 W 0.000 0.000 0.500
2 W 0.000 0.500 0.000
3 W 0.500 0.000 0.000
4 I 0.500 0.500 0.500
5 O 0.000 0.000 0.000

=====

Arrangement x

Entry from Alexandria: a relaxed structure of W3IO (PBE with a Hubbard U).

Computed properties:
Density of states at the Fermi level ... 2.66 states/eV/cell
SG ... No. 221

a b c (Å): 4.982 4.982 4.982
angles (deg): 90.00 90.00 90.00
Fractional positions:
1 W 0.000 0.000 0.500
2 W 0.000 0.500 0.000
3 W 0.500 0.000 0.000
4 I 0.000 0.000 0.000
5 O 0.500 0.500 0.500

=====

Short version: arrangement x is the least stable of them.

=====

Arrangement w

Entry from Alexandria: a relaxed structure of ZrWI2O (PBE with a Hubbard U).

Computed properties:
Density of states at the Fermi level ... 3.97 states/eV/cell
SG ... No. 123

a b c (Å): 5.965 5.965 3.846
angles (deg): 90.00 90.00 90.00
Fractional positions:
1 Zr 0.000 0.000 0.000
2 W 0.500 0.500 0.500
3 I 0.000 0.500 0.500
4 I 0.500 0.000 0.500
5 O 0.500 0.500 0.000

=====

Arrangement x

Entry from Alexandria: a relaxed structure of ZrWI2O (PBE with a Hubbard U).

Computed properties:
Density of states at the Fermi level ... 1.63 states/eV/cell
SG ... No. 123

a b c (Å): 5.944 5.944 4.020
angles (deg): 90.00 90.00 90.00
Fractional positions:
1 Zr 0.000 0.000 0.000
2 W 0.500 0.500 0.500
3 I 0.000 0.500 0.000
4 I 0.500 0.000 0.000
5 O 0.000 0.000 0.500

=====

Short version: arrangement w is the least stable of them.